Compound: Rb2CoWI6
Source: Alexandria via LeMat-Bulk
Functional: PBE
Structure: relaxed

- Crystal system: cubic
- DOS(E_F): 0.7743 states/eV per atom
- ΔE_f (raw): -363 meV/atom
- M_tot: 5.00 μB/f.u.
- Symmetry: Fm-3m (225)

Cell: 8.0384 8.0384 8.0384 Å, 60.00 60.00 60.00°
Closest atoms and distances in Å follow each position.
Atoms (fractional coordinates):
Rb 0.2500 0.2500 0.2500  12 I 4.02
Rb 0.7500 0.7500 0.7500  12 I 4.02
Co 0.0000 0.0000 0.0000  6 I 2.85
W 0.5000 0.5000 0.5000  6 I 2.83
I 0.2507 0.2507 0.7493  1 W 2.83, 1 Co 2.85
I 0.2507 0.7493 0.2507  1 W 2.83, 1 Co 2.85
I 0.2507 0.7493 0.7493  1 W 2.83, 1 Co 2.85
I 0.7493 0.2507 0.2507  1 W 2.83, 1 Co 2.85
I 0.7493 0.2507 0.7493  1 W 2.83, 1 Co 2.85
I 0.7493 0.7493 0.2507  1 W 2.83, 1 Co 2.85


Compound: Ce2SmPuSb4
Source: Alexandria via LeMat-Bulk
Functional: PBE
Structure: relaxed

- Crystal system: monoclinic
- DOS(E_F): 3.1522 states/eV per atom
- ΔE_f (raw): -970 meV/atom
- M_tot: 6.82 μB/f.u.
- Symmetry: P2/m (10)

Cell: 7.7307 4.4783 7.7633 Å, 90.00 109.54 90.00°
Closest atoms and distances in Å follow each position.
Atoms (fractional coordinates):
Ce 0.0000 0.0000 0.0000  6 Sb 3.16
Ce 0.0000 0.5000 0.5000  6 Sb 3.17-3.18
Sm 0.5000 0.0000 0.5000  6 Sb 3.17
Pu 0.5000 0.5000 0.0000  6 Sb 3.15-3.16
Sb 0.2503 0.5000 0.2489  1 Pu 3.16, 3 Ce 3.16-3.17, 2 Sm 3.17
Sb 0.2518 0.0000 0.7520  2 Pu 3.15, 3 Ce 3.16-3.18, 1 Sm 3.17
Sb 0.7482 0.0000 0.2480  2 Pu 3.15, 3 Ce 3.16-3.18, 1 Sm 3.17
Sb 0.7497 0.5000 0.7511  1 Pu 3.16, 3 Ce 3.16-3.17, 2 Sm 3.17


Compound: Er3HfP4
Source: Alexandria via LeMat-Bulk
Functional: PBE
Structure: relaxed

- Crystal system: orthorhombic
- DOS(E_F): 0.1725 states/eV per atom
- M_tot: 0.00 μB/f.u.
- ΔH_f (0 K): -1536 meV/atom
- Symmetry: Cmmm (65)

Cell: 6.7364 6.7364 3.8837 Å, 90.00 90.00 109.26°
Closest atoms and distances in Å follow each position.
Atoms (fractional coordinates):
Er 0.0000 0.0000 0.0000  6 P 2.82
Er 0.0000 0.5000 0.5000  6 P 2.75
Er 0.5000 0.0000 0.5000  6 P 2.75
Hf 0.5000 0.5000 0.0000  6 P 2.68-2.69
P 0.2563 0.7437 0.0000  1 Hf 2.68, 5 Er 2.75-2.82
P 0.2615 0.2615 0.5000  2 Hf 2.69, 4 Er 2.75-2.82
P 0.7385 0.7385 0.5000  2 Hf 2.69, 4 Er 2.75-2.82
P 0.7437 0.2563 0.0000  1 Hf 2.68, 5 Er 2.75-2.82


Compound: BiSCl2
Source: Alexandria via LeMat-Bulk
Functional: PBE
Structure: relaxed

- Crystal system: tetragonal
- Excess energy over the best structure of this formula in the dataset: 284 meV/atom
- DOS(E_F): 0.6574 states/eV per atom
- ΔE_f (raw): -251 meV/atom
- M_tot: 1.00 μB/f.u.
- Symmetry: I-42d (122)

Cell: 7.5066 7.5066 7.5066 Å, 97.54 97.54 137.54°
Closest atoms and distances in Å follow each position.
Atoms (fractional coordinates):
Bi 0.0000 0.0000 0.0000  2 S 2.72, 4 Cl 2.78
Bi 0.7500 0.2500 0.5000  2 S 2.72, 4 Cl 2.78
S 0.2500 0.7500 0.5000  2 Bi 2.72
S 0.5000 0.5000 0.0000  2 Bi 2.72
Cl 0.3750 0.2324 0.3574  2 Bi 2.78
Cl 0.7676 0.1250 0.1426  2 Bi 2.78
Cl 0.8750 0.0176 0.6426  2 Bi 2.78
Cl 0.9824 0.6250 0.8574  2 Bi 2.78


Compound: LiP4Ir
Source: Alexandria via LeMat-Bulk
Functional: PBE
Structure: relaxed

- Crystal system: cubic
- DOS(E_F): 0.5282 states/eV per atom
- M_tot: 0.00 μB/f.u.
- ΔH_f (0 K): 542 meV/atom
- Symmetry: F-43m (216)

Cell: 4.9682 4.9682 4.9682 Å, 60.00 60.00 60.00°
Closest atoms and distances in Å follow each position.
Atoms (fractional coordinates):
Li 0.0000 0.0000 0.0000  12 P 2.91, 4 Ir 3.04
P 0.3715 0.3715 0.3715  6 P 2.42-2.55
P 0.3715 0.3715 0.8854  6 P 2.42-2.55
P 0.3715 0.8854 0.3715  6 P 2.42-2.55
P 0.8854 0.3715 0.3715  6 P 2.42-2.55
Ir 0.7500 0.7500 0.7500  12 P 2.92, 4 Li 3.04


Compound: NaNdAs2O6
Source: Alexandria via LeMat-Bulk
Functional: PBE
Structure: relaxed

- Crystal system: monoclinic
- DOS(E_F): 0.1967 states/eV per atom
- ΔE_f (raw): -1815 meV/atom
- M_tot: 0.00 μB/f.u.
- Symmetry: C2/c (15)

Cell: 7.1798 7.1798 6.9925 Å, 109.56 109.56 83.44°
Closest atoms and distances in Å follow each position.
Atoms (fractional coordinates):
Na 0.2133 0.7867 0.7500  6 O 2.57-2.69
Na 0.7867 0.2133 0.2500  6 O 2.57-2.69
Nd 0.3966 0.6034 0.2500  6 O 2.29-2.50
Nd 0.6034 0.3966 0.7500  6 O 2.29-2.50
As 0.1276 0.2649 0.7252  4 O 1.75-1.91
As 0.2649 0.1276 0.2252  4 O 1.75-1.91
As 0.7351 0.8724 0.7748  4 O 1.75-1.91
As 0.8724 0.7351 0.2748  4 O 1.75-1.91
O 0.1050 0.6231 0.3216  1 As 1.75
O 0.1528 0.1618 0.4457  2 As 1.90-1.91
O 0.1618 0.1528 0.9457  2 As 1.90-1.91
O 0.2968 0.4686 0.8560  1 As 1.79
O 0.3769 0.8950 0.1784  1 As 1.75
O 0.4686 0.2968 0.3560  1 As 1.79
O 0.5314 0.7032 0.6440  1 As 1.79
O 0.6231 0.1050 0.8216  1 As 1.75
O 0.7032 0.5314 0.1440  1 As 1.79
O 0.8382 0.8472 0.0543  2 As 1.90-1.91
O 0.8472 0.8382 0.5543  2 As 1.90-1.91
O 0.8950 0.3769 0.6784  1 As 1.75